VASP calculation (PBE with a Hubbard U) on a relaxed structure of InMoPO2.

Lattice parameters (Å, degrees): 4.034 4.034 5.526 90.00 90.00 90.00
Sites, in units of the cell vectors:
In1 0.000 0.000 0.000
Mo1 0.500 0.500 0.500
P1 0.000 0.000 0.500
O1 0.000 0.500 0.000
O2 0.500 0.000 0.000

## Properties
**Excess energy over the best structure of this formula in the dataset**: 927 meV per atom
**DFT total energy**: -4.880 eV per atom
**Spin magnetization**: 2.0 Bohr magnetons per cell
**DOS(E_F)**: 0.543 states/eV/atom
**Crystal system**: tetragonal